Below is a geometry-optimized TbPr4NdSe8 structure, with properties calculated at the PBE level.

- spin magnetization (Bohr magnetons per cell) = 0.01
- formation energy from raw total energies (kcal/mol of atoms) = -39.794
- DOS at the Fermi energy (states/eV/cell) = 26.78

Lattice parameters (Å, degrees): 8.7162 8.7162 21.3184 90.00 90.00 120.00
Space group R3m (No. 160, hexagonal axes)
Unique sites:
1 Tb 0.0000 0.0000 0.0000 x3
2 Pr 0.0000 0.0000 0.2495 x3
3 Pr 0.1688 0.3376 0.4576 x9
4 Nd 0.0000 0.0000 0.6265 x3
5 Se 0.0000 0.0000 0.3828 x3
6 Se 0.0000 0.0000 0.8713 x3
7 Se 0.0111 0.5055 0.3754 x9
8 Se 0.1784 0.3568 0.2060 x9

***

Below is a geometry-optimized BaMgHgBi2 structure, with properties calculated at the PBE level.

- formation energy from the elements (meV per atom) = -320
- spin magnetization (Bohr magnetons per cell) = 0.00
- DOS at the Fermi energy (states/eV/cell) = 2.32

Lattice parameters (Å, degrees): 5.6393 5.6393 5.5797 90.00 90.00 90.00
Space group P4/mmm (No. 123)
Unique sites:
1 Ba 0.0000 0.0000 0.0000 x1
2 Mg 0.5000 0.5000 0.5000 x1
3 Hg 0.5000 0.5000 0.0000 x1
4 Bi 0.0000 0.5000 0.5000 x2

***

Below is a geometry-optimized Mn2Zn2Tc structure, with properties calculated at the PBE level.

- ΔE to the lowest computed polymorph (meV/atom) = 126.2
- formation energy from the elements (meV per atom) = 521
- spin magnetization (Bohr magnetons per cell) = 11.57
- DOS at the Fermi energy (states/eV/cell) = 11.55

Lattice parameters (Å, degrees): 3.3494 3.3494 13.3599 90.00 90.00 90.00
Space group I4/mmm (No. 139)
Unique sites:
1 Mn 0.0000 0.0000 0.0928 x4
2 Zn 0.0000 0.5000 0.2500 x4
3 Tc 0.0000 0.0000 0.5000 x2

***

Below is a geometry-optimized NaScCu2 structure, with properties calculated at the PBE level.

- ΔE to the lowest computed polymorph (meV/atom) = 0.0
- formation energy from the elements (meV per atom) = 145
- spin magnetization (Bohr magnetons per cell) = 0.00
- DOS at the Fermi energy (states/eV/cell) = 14.12

Lattice parameters (Å, degrees): 6.5657 6.5657 6.5657 90.00 90.00 90.00
Space group Fm-3m (No. 225)
Unique sites:
1 Na 0.0000 0.0000 0.0000 x4
2 Sc 0.0000 0.0000 0.5000 x4
3 Cu 0.2500 0.2500 0.2500 x8